Entry 1:
A relaxed MgCu4NiAs2 crystal, computed with PBE-GGA.

SG: P4/mmm (123)
magnetization: 0.0003 μB/atom
total DFT energy (no corrections): -0.283 Ry per atom

a = 4.304 Å, b = 4.304 Å, c = 5.973 Å
α = 90.00°, β = 90.00°, γ = 90.00°
Fractional coordinates of all 8 atoms:
Mg  0.000  0.000  0.000
Cu  0.000  0.500  0.272
Cu  0.000  0.500  0.728
Cu  0.500  0.000  0.272
Cu  0.500  0.000  0.728
Ni  0.500  0.500  0.500
As  0.000  0.000  0.500
As  0.500  0.500  0.000

=====

Entry 2:
A relaxed Mg2CuNiAs2 crystal, computed with PBE-GGA.

SG: P4mm (99)
magnetization: 0.0003 μB/atom
total DFT energy (no corrections): -0.271 Ry per atom

a = 3.983 Å, b = 3.983 Å, c = 6.261 Å
α = 90.00°, β = 90.00°, γ = 90.00°
Fractional coordinates of all 6 atoms:
Mg  0.000  0.500  0.000
Mg  0.500  0.000  0.000
Cu  0.000  0.000  0.689
Ni  0.500  0.500  0.301
As  0.000  0.000  0.303
As  0.500  0.500  0.687

=====

Entry 3:
A relaxed MgCuReAs crystal, computed with PBE-GGA.

SG: F-43m (216)
magnetization: 0.0133 μB/atom
offset from the most stable computed form: 0.0 meV per atom

a = 6.208 Å, b = 6.208 Å, c = 6.208 Å
α = 90.00°, β = 90.00°, γ = 90.00°
Fractional coordinates of all 16 atoms:
Mg  0.000  0.000  0.000
Mg  0.000  0.500  0.500
Mg  0.500  0.000  0.500
Mg  0.500  0.500  0.000
Cu  0.250  0.250  0.750
Cu  0.250  0.750  0.250
Cu  0.750  0.250  0.250
Cu  0.750  0.750  0.750
Re  0.250  0.250  0.250
Re  0.250  0.750  0.750
Re  0.750  0.250  0.750
Re  0.750  0.750  0.250
As  0.000  0.000  0.500
As  0.000  0.500  0.000
As  0.500  0.000  0.000
As  0.500  0.500  0.500

=====

Entry 4:
A relaxed MgScCu4As2 crystal, computed with PBE-GGA.

SG: P4/mmm (123)
magnetization: 0.0000 μB/atom
total DFT energy (no corrections): -0.308 Ry per atom

a = 3.995 Å, b = 3.995 Å, c = 7.449 Å
α = 90.00°, β = 90.00°, γ = 90.00°
Fractional coordinates of all 8 atoms:
Mg  0.000  0.000  0.000
Sc  0.500  0.500  0.500
Cu  0.000  0.500  0.236
Cu  0.000  0.500  0.764
Cu  0.500  0.000  0.236
Cu  0.500  0.000  0.764
As  0.000  0.000  0.500
As  0.500  0.500  0.000

=====

Entry 5:
A relaxed MgScCuAs crystal, computed with PBE-GGA.

SG: F-43m (216)
magnetization: 0.0004 μB/atom
offset from the most stable computed form: 0.0 meV per atom

a = 6.551 Å, b = 6.551 Å, c = 6.551 Å
α = 90.00°, β = 90.00°, γ = 90.00°
Fractional coordinates of all 16 atoms:
Mg  0.000  0.000  0.000
Mg  0.000  0.500  0.500
Mg  0.500  0.000  0.500
Mg  0.500  0.500  0.000
Sc  0.000  0.000  0.500
Sc  0.000  0.500  0.000
Sc  0.500  0.000  0.000
Sc  0.500  0.500  0.500
Cu  0.250  0.250  0.250
Cu  0.250  0.750  0.750
Cu  0.750  0.250  0.750
Cu  0.750  0.750  0.250
As  0.250  0.250  0.750
As  0.250  0.750  0.250
As  0.750  0.250  0.250
As  0.750  0.750  0.750

=====

Entry 6:
A relaxed MgScCuAs crystal, computed with PBE-GGA.

SG: F-43m (216)
magnetization: 0.0056 μB/atom
offset from the most stable computed form: 271.3 meV per atom

a = 6.578 Å, b = 6.578 Å, c = 6.578 Å
α = 90.00°, β = 90.00°, γ = 90.00°
Fractional coordinates of all 16 atoms:
Mg  0.000  0.000  0.000
Mg  0.000  0.500  0.500
Mg  0.500  0.000  0.500
Mg  0.500  0.500  0.000
Sc  0.250  0.250  0.250
Sc  0.250  0.750  0.750
Sc  0.750  0.250  0.750
Sc  0.750  0.750  0.250
Cu  0.250  0.250  0.750
Cu  0.250  0.750  0.250
Cu  0.750  0.250  0.250
Cu  0.750  0.750  0.750
As  0.000  0.000  0.500
As  0.000  0.500  0.000
As  0.500  0.000  0.000
As  0.500  0.500  0.500

=====

Entry 7:
A relaxed MgScCuAs crystal, computed with PBE-GGA.

SG: F-43m (216)
magnetization: 0.0003 μB/atom
offset from the most stable computed form: 343.9 meV per atom

a = 6.648 Å, b = 6.648 Å, c = 6.648 Å
α = 90.00°, β = 90.00°, γ = 90.00°
Fractional coordinates of all 16 atoms:
Mg  0.000  0.000  0.000
Mg  0.000  0.500  0.500
Mg  0.500  0.000  0.500
Mg  0.500  0.500  0.000
Sc  0.250  0.250  0.250
Sc  0.250  0.750  0.750
Sc  0.750  0.250  0.750
Sc  0.750  0.750  0.250
Cu  0.000  0.000  0.500
Cu  0.000  0.500  0.000
Cu  0.500  0.000  0.000
Cu  0.500  0.500  0.500
As  0.250  0.250  0.750
As  0.250  0.750  0.250
As  0.750  0.250  0.250
As  0.750  0.750  0.750

=====

Entry 8:
A relaxed MgCuTcAs crystal, computed with PBE-GGA.

SG: F-43m (216)
magnetization: 0.0033 μB/atom
offset from the most stable computed form: 0.0 meV per atom

a = 6.180 Å, b = 6.180 Å, c = 6.180 Å
α = 90.00°, β = 90.00°, γ = 90.00°
Fractional coordinates of all 16 atoms:
Mg  0.000  0.000  0.000
Mg  0.000  0.500  0.500
Mg  0.500  0.000  0.500
Mg  0.500  0.500  0.000
Cu  0.250  0.250  0.750
Cu  0.250  0.750  0.250
Cu  0.750  0.250  0.250
Cu  0.750  0.750  0.750
Tc  0.250  0.250  0.250
Tc  0.250  0.750  0.750
Tc  0.750  0.250  0.750
Tc  0.750  0.750  0.250
As  0.000  0.000  0.500
As  0.000  0.500  0.000
As  0.500  0.000  0.000
As  0.500  0.500  0.500

=====

Entry 9:
A relaxed MgCuAsW crystal, computed with PBE-GGA.

SG: F-43m (216)
magnetization: 0.0016 μB/atom
offset from the most stable computed form: 0.0 meV per atom

a = 6.271 Å, b = 6.271 Å, c = 6.271 Å
α = 90.00°, β = 90.00°, γ = 90.00°
Fractional coordinates of all 16 atoms:
Mg  0.000  0.000  0.000
Mg  0.000  0.500  0.500
Mg  0.500  0.000  0.500
Mg  0.500  0.500  0.000
Cu  0.250  0.250  0.750
Cu  0.250  0.750  0.250
Cu  0.750  0.250  0.250
Cu  0.750  0.750  0.750
As  0.000  0.000  0.500
As  0.000  0.500  0.000
As  0.500  0.000  0.000
As  0.500  0.500  0.500
W  0.250  0.250  0.250
W  0.250  0.750  0.750
W  0.750  0.250  0.750
W  0.750  0.750  0.250

=====

Entry 10:
A relaxed YMgCuAs crystal, computed with PBE-GGA.

SG: F-43m (216)
magnetization: 0.0001 μB/atom
offset from the most stable computed form: 0.0 meV per atom

a = 6.836 Å, b = 6.836 Å, c = 6.836 Å
α = 90.00°, β = 90.00°, γ = 90.00°
Fractional coordinates of all 16 atoms:
Y  0.000  0.000  0.000
Y  0.000  0.500  0.500
Y  0.500  0.000  0.500
Y  0.500  0.500  0.000
Mg  0.250  0.250  0.750
Mg  0.250  0.750  0.250
Mg  0.750  0.250  0.250
Mg  0.750  0.750  0.750
Cu  0.000  0.000  0.500
Cu  0.000  0.500  0.000
Cu  0.500  0.000  0.000
Cu  0.500  0.500  0.500
As  0.250  0.250  0.250
As  0.250  0.750  0.750
As  0.750  0.250  0.750
As  0.750  0.750  0.250

=====

Entry 11:
A relaxed YMgCuAs crystal, computed with PBE-GGA.

SG: F-43m (216)
magnetization: 0.0002 μB/atom
offset from the most stable computed form: 49.3 meV per atom

a = 6.829 Å, b = 6.829 Å, c = 6.829 Å
α = 90.00°, β = 90.00°, γ = 90.00°
Fractional coordinates of all 16 atoms:
Y  0.000  0.000  0.000
Y  0.000  0.500  0.500
Y  0.500  0.000  0.500
Y  0.500  0.500  0.000
Mg  0.250  0.250  0.250
Mg  0.250  0.750  0.750
Mg  0.750  0.250  0.750
Mg  0.750  0.750  0.250
Cu  0.250  0.250  0.750
Cu  0.250  0.750  0.250
Cu  0.750  0.250  0.250
Cu  0.750  0.750  0.750
As  0.000  0.000  0.500
As  0.000  0.500  0.000
As  0.500  0.000  0.000
As  0.500  0.500  0.500

=====

Entry 12:
A relaxed CuMo3As5 crystal, computed with PBE-GGA.

SG: P6/mmm (191)
magnetization: 0.0001 μB/atom
total DFT energy (no corrections): -0.465 Ry per atom

a = 5.312 Å, b = 5.312 Å, c = 7.525 Å
α = 90.00°, β = 90.00°, γ = 120.00°
Fractional coordinates of all 9 atoms:
Cu  0.000  0.000  0.000
Mo  0.000  0.500  0.500
Mo  0.500  0.000  0.500
Mo  0.500  0.500  0.500
As  0.000  0.000  0.500
As  0.333  0.667  0.210
As  0.333  0.667  0.790
As  0.667  0.333  0.210
As  0.667  0.333  0.790

=====

Entry 13:
A relaxed CuMoAsOs crystal, computed with PBE-GGA.

SG: F-43m (216)
magnetization: 0.0014 μB/atom
offset from the most stable computed form: 0.0 meV per atom

a = 6.173 Å, b = 6.173 Å, c = 6.173 Å
α = 90.00°, β = 90.00°, γ = 90.00°
Fractional coordinates of all 16 atoms:
Cu  0.000  0.000  0.000
Cu  0.000  0.500  0.500
Cu  0.500  0.000  0.500
Cu  0.500  0.500  0.000
Mo  0.000  0.000  0.500
Mo  0.000  0.500  0.000
Mo  0.500  0.000  0.000
Mo  0.500  0.500  0.500
As  0.250  0.250  0.750
As  0.250  0.750  0.250
As  0.750  0.250  0.250
As  0.750  0.750  0.750
Os  0.250  0.250  0.250
Os  0.250  0.750  0.750
Os  0.750  0.250  0.750
Os  0.750  0.750  0.250

=====

Entry 14:
A relaxed CuMoAsPd crystal, computed with PBE-GGA.

SG: F-43m (216)
magnetization: 0.0091 μB/atom
offset from the most stable computed form: 0.0 meV per atom

a = 6.189 Å, b = 6.189 Å, c = 6.189 Å
α = 90.00°, β = 90.00°, γ = 90.00°
Fractional coordinates of all 16 atoms:
Cu  0.000  0.000  0.000
Cu  0.000  0.500  0.500
Cu  0.500  0.000  0.500
Cu  0.500  0.500  0.000
Mo  0.000  0.000  0.500
Mo  0.000  0.500  0.000
Mo  0.500  0.000  0.000
Mo  0.500  0.500  0.500
As  0.250  0.250  0.750
As  0.250  0.750  0.250
As  0.750  0.250  0.250
As  0.750  0.750  0.750
Pd  0.250  0.250  0.250
Pd  0.250  0.750  0.750
Pd  0.750  0.250  0.750
Pd  0.750  0.750  0.250

=====

Entry 15:
A relaxed ScCuMoAs crystal, computed with PBE-GGA.

SG: F-43m (216)
magnetization: 0.0012 μB/atom
offset from the most stable computed form: 0.0 meV per atom

a = 6.320 Å, b = 6.320 Å, c = 6.320 Å
α = 90.00°, β = 90.00°, γ = 90.00°
Fractional coordinates of all 16 atoms:
Sc  0.000  0.000  0.000
Sc  0.000  0.500  0.500
Sc  0.500  0.000  0.500
Sc  0.500  0.500  0.000
Cu  0.250  0.250  0.750
Cu  0.250  0.750  0.250
Cu  0.750  0.250  0.250
Cu  0.750  0.750  0.750
Mo  0.250  0.250  0.250
Mo  0.250  0.750  0.750
Mo  0.750  0.250  0.750
Mo  0.750  0.750  0.250
As  0.000  0.000  0.500
As  0.000  0.500  0.000
As  0.500  0.000  0.000
As  0.500  0.500  0.500

=====

Entry 16:
A relaxed TaCuMoAs crystal, computed with PBE-GGA.

SG: F-43m (216)
magnetization: 0.0401 μB/atom
offset from the most stable computed form: 0.0 meV per atom

a = 6.289 Å, b = 6.289 Å, c = 6.289 Å
α = 90.00°, β = 90.00°, γ = 90.00°
Fractional coordinates of all 16 atoms:
Ta  0.000  0.000  0.000
Ta  0.000  0.500  0.500
Ta  0.500  0.000  0.500
Ta  0.500  0.500  0.000
Cu  0.250  0.250  0.750
Cu  0.250  0.750  0.250
Cu  0.750  0.250  0.250
Cu  0.750  0.750  0.750
Mo  0.250  0.250  0.250
Mo  0.250  0.750  0.750
Mo  0.750  0.250  0.750
Mo  0.750  0.750  0.250
As  0.000  0.000  0.500
As  0.000  0.500  0.000
As  0.500  0.000  0.000
As  0.500  0.500  0.500

=====

Entry 17:
A relaxed CuMoAsW crystal, computed with PBE-GGA.

SG: F-43m (216)
magnetization: 0.0006 μB/atom
offset from the most stable computed form: 115.5 meV per atom

a = 6.222 Å, b = 6.222 Å, c = 6.222 Å
α = 90.00°, β = 90.00°, γ = 90.00°
Fractional coordinates of all 16 atoms:
Cu  0.000  0.000  0.000
Cu  0.000  0.500  0.500
Cu  0.500  0.000  0.500
Cu  0.500  0.500  0.000
Mo  0.000  0.000  0.500
Mo  0.000  0.500  0.000
Mo  0.500  0.000  0.000
Mo  0.500  0.500  0.500
As  0.250  0.250  0.750
As  0.250  0.750  0.250
As  0.750  0.250  0.250
As  0.750  0.750  0.750
W  0.250  0.250  0.250
W  0.250  0.750  0.750
W  0.750  0.250  0.750
W  0.750  0.750  0.250

=====

Entry 18:
A relaxed CuMoAsW crystal, computed with PBE-GGA.

SG: F-43m (216)
magnetization: 0.0044 μB/atom
offset from the most stable computed form: 0.0 meV per atom

a = 6.140 Å, b = 6.140 Å, c = 6.140 Å
α = 90.00°, β = 90.00°, γ = 90.00°
Fractional coordinates of all 16 atoms:
Cu  0.000  0.000  0.000
Cu  0.000  0.500  0.500
Cu  0.500  0.000  0.500
Cu  0.500  0.500  0.000
Mo  0.250  0.250  0.750
Mo  0.250  0.750  0.250
Mo  0.750  0.250  0.250
Mo  0.750  0.750  0.750
As  0.000  0.000  0.500
As  0.000  0.500  0.000
As  0.500  0.000  0.000
As  0.500  0.500  0.500
W  0.250  0.250  0.250
W  0.250  0.750  0.750
W  0.750  0.250  0.750
W  0.750  0.750  0.250

=====

Entry 19:
A relaxed ZrCuMoAs crystal, computed with PBE-GGA.

SG: F-43m (216)
magnetization: 0.0028 μB/atom
offset from the most stable computed form: 0.0 meV per atom

a = 6.393 Å, b = 6.393 Å, c = 6.393 Å
α = 90.00°, β = 90.00°, γ = 90.00°
Fractional coordinates of all 16 atoms:
Zr  0.000  0.000  0.000
Zr  0.000  0.500  0.500
Zr  0.500  0.000  0.500
Zr  0.500  0.500  0.000
Cu  0.250  0.250  0.750
Cu  0.250  0.750  0.250
Cu  0.750  0.250  0.250
Cu  0.750  0.750  0.750
Mo  0.250  0.250  0.250
Mo  0.250  0.750  0.750
Mo  0.750  0.250  0.750
Mo  0.750  0.750  0.250
As  0.000  0.000  0.500
As  0.000  0.500  0.000
As  0.500  0.000  0.000
As  0.500  0.500  0.500

=====

Entry 20:
A relaxed Nb4CuAsN2 crystal, computed with PBE-GGA.

SG: P-6m2 (187)
magnetization: 0.0003 μB/atom
total DFT energy (no corrections): -0.641 Ry per atom

a = 3.249 Å, b = 3.249 Å, c = 12.380 Å
α = 90.00°, β = 90.00°, γ = 120.00°
Fractional coordinates of all 8 atoms:
Nb  0.000  0.000  0.153
Nb  0.000  0.000  0.847
Nb  0.667  0.333  0.337
Nb  0.667  0.333  0.663
Cu  0.000  0.000  0.500
As  0.667  0.333  0.000
N  0.333  0.667  0.252
N  0.333  0.667  0.748